(1)
Entry from Alexandria via LeMat-Bulk: an optimized crystal structure of La3Tm4 (PBE).

Output
Magnetization: 0.000 μB per cell
ΔH_f (0 K): 0.039 eV per atom
Excess energy over the best structure of this formula in the dataset: 0 meV per atom
Raw total energy: -4.6284 eV per atom

Cell lengths 3.614, 3.614, 35.424 Å; angles 90.00, 90.00, 90.00 degrees
Space group I4/mmm (No. 139)
Symmetry-distinct sites (fractional):
La1 0.000 0.000 0.000 x2
La2 0.000 0.000 0.287 x4
Tm1 0.000 0.000 0.139 x4
Tm2 0.000 0.000 0.428 x4

=====

(2)
Entry from Alexandria via LeMat-Bulk: an optimized crystal structure of La5Tm (PBE).

Output
Magnetization: 0.000 μB per cell
ΔH_f (0 K): 0.017 eV per atom
Excess energy over the best structure of this formula in the dataset: 5 meV per atom
Raw total energy: -4.8341 eV per atom

Cell lengths 5.223, 15.658, 5.219 Å; angles 90.00, 90.00, 90.00 degrees
Space group Cmmm (No. 65)
Symmetry-distinct sites (fractional):
La1 0.000 0.000 0.000 x2
La2 0.000 0.165 0.500 x4
La3 0.000 0.334 0.000 x4
Tm1 0.000 0.500 0.500 x2

=====

(3)
Entry from Alexandria via LeMat-Bulk: an optimized crystal structure of La4Tm (PBE).

Output
Magnetization: 0.000 μB per cell
ΔH_f (0 K): 0.018 eV per atom
Excess energy over the best structure of this formula in the dataset: 0 meV per atom
Raw total energy: -4.8178 eV per atom

Cell lengths 6.394, 3.681, 15.189 Å; angles 90.00, 98.26, 90.00 degrees
Space group C2/m (No. 12)
Symmetry-distinct sites (fractional):
La1 0.103 0.000 0.307 x4
La2 0.200 0.500 0.103 x4
Tm1 0.000 0.500 0.500 x2

=====

(4)
Entry from Alexandria via LeMat-Bulk: an optimized crystal structure of La2Tm (PBE).

Output
Magnetization: 0.000 μB per cell
ΔH_f (0 K): 0.036 eV per atom
Excess energy over the best structure of this formula in the dataset: 17 meV per atom
Raw total energy: -4.7391 eV per atom

Cell lengths 6.282, 3.670, 17.947 Å; angles 90.00, 90.00, 90.00 degrees
Space group Pnma (No. 62)
Symmetry-distinct sites (fractional):
La1 0.080 0.250 0.161 x4
La2 0.081 0.750 0.338 x4
Tm1 0.250 0.250 0.500 x4

=====

(5)
Entry from Alexandria via LeMat-Bulk: an optimized crystal structure of La2Tm (PBE).

Output
Magnetization: 0.000 μB per cell
ΔH_f (0 K): 0.019 eV per atom
Excess energy over the best structure of this formula in the dataset: 0 meV per atom
Raw total energy: -4.7566 eV per atom

Cell lengths 3.662, 5.190, 10.862 Å; angles 90.00, 90.00, 90.00 degrees
Space group Immm (No. 71)
Symmetry-distinct sites (fractional):
La1 0.000 0.000 0.169 x4
Tm1 0.000 0.000 0.500 x2

=====

(6)
Entry from Alexandria via LeMat-Bulk: an optimized crystal structure of La7Tm2 (PBE).

Output
Magnetization: 0.000 μB per cell
ΔH_f (0 K): 0.023 eV per atom
Raw total energy: -4.8031 eV per atom

Cell lengths 6.3497, 6.3497, 9.0590 Å; angles 90.00, 90.00, 120.00 degrees
Space group P-31m (No. 162)
Symmetry-distinct sites (fractional):
La1 0.0000 0.0000 0.0000 x1
La2 0.0000 0.3333 0.6712 x6
Tm1 0.3333 0.6667 0.0000 x2